# 1
{"formula": "RbPd2Pb3", "functional": "PBE", "state": "relaxed", "cell": [[-5.1315, 0.2596, -3.0758], [-2.2406, -7.0911, 3.1394], [-2.0270, 6.7412, 3.9507]], "species": ["Rb", "Rb", "Pd", "Pd", "Pd", "Pd", "Pb", "Pb", "Pb", "Pb", "Pb", "Pb"], "frac_coords": [[0.2500, 0.3520, 0.3520], [0.7500, 0.6480, 0.6480], [0.5000, 0.8295, 0.1705], [0.0000, 0.8295, 0.1705], [0.0000, 0.1705, 0.8295], [0.5000, 0.1705, 0.8295], [0.7500, 0.5083, 0.1070], [0.7500, 0.1070, 0.5083], [0.2500, 0.4917, 0.8930], [0.7500, 0.0989, 0.0989], [0.2500, 0.9011, 0.9011], [0.2500, 0.8930, 0.4917]], "rho_g_cm3": 8.89, "spacegroup": "No. 63", "dos_ef_per_ev_atom": 0.63, "delta_e_f_ev_per_atom": -0.196, "m_tot_mub_per_fu": 0.00, "e_tot_ev_per_atom": -3.94}



# 2
{"formula": "RbPd2Pb8", "functional": "PBE", "state": "relaxed", "cell": [[-0.0123, -4.2753, -3.6455], [-1.0611, -4.4884, 6.5084], [-7.0535, 2.9821, -2.2328]], "species": ["Rb", "Pd", "Pd", "Pb", "Pb", "Pb", "Pb", "Pb", "Pb", "Pb", "Pb"], "frac_coords": [[0.5000, 0.0000, 0.0000], [0.0000, 0.3130, 0.6870], [0.0000, 0.6870, 0.3130], [0.8784, 0.9188, 0.6471], [0.8784, 0.6471, 0.9188], [0.2806, 0.6107, 0.6107], [0.5000, 0.7294, 0.2706], [0.5000, 0.2706, 0.7294], [0.7194, 0.3893, 0.3893], [0.1216, 0.3529, 0.0812], [0.1216, 0.0812, 0.3529]], "rho_g_cm3": 9.74, "spacegroup": "No. 12", "relative_energy_ev_per_fu": 0.00, "dos_ef_per_ev_atom": 0.51, "delta_e_f_ev_per_atom": -0.073, "m_tot_mub_per_fu": 0.00, "e_tot_ev_per_atom": -3.80}



# 3
{"formula": "RbPd3Pb", "functional": "PBE", "state": "relaxed", "cell": [[-3.7268, -3.3165, -1.3447], [1.4451, -3.1707, 3.8151], [-3.2740, 2.3757, 3.2146]], "species": ["Pb", "Rb", "Pd", "Pd", "Pd"], "frac_coords": [[0.5000, 0.5000, 0.5000], [0.0000, 0.0000, 0.0000], [0.0000, 0.5000, 0.0000], [0.0000, 0.0000, 0.5000], [0.5000, 0.0000, 0.0000]], "rho_g_cm3": 7.37, "spacegroup": "No. 221", "relative_energy_ev_per_fu": 4.29, "dos_ef_per_ev_atom": 0.93, "delta_e_f_ev_per_atom": 1.179, "m_tot_mub_per_fu": 0.00, "e_tot_ev_per_atom": -2.87}



# 4
{"formula": "RbPd2Pb4", "functional": "PBE", "state": "relaxed", "cell": [[-0.0923, 4.0535, -2.5546], [-8.1373, -0.7700, -0.9278], [-2.9613, 10.7031, 17.0899]], "species": ["Rb", "Rb", "Rb", "Rb", "Pd", "Pd", "Pd", "Pd", "Pd", "Pd", "Pd", "Pd", "Pb", "Pb", "Pb", "Pb", "Pb", "Pb", "Pb", "Pb", "Pb", "Pb", "Pb", "Pb", "Pb", "Pb", "Pb", "Pb"], "frac_coords": [[0.7500, 0.9796, 0.6223], [0.2500, 0.0204, 0.3777], [0.2500, 0.4796, 0.8777], [0.7500, 0.5204, 0.1223], [0.2500, 0.6310, 0.5386], [0.7500, 0.3690, 0.4614], [0.7500, 0.1310, 0.9614], [0.2500, 0.8690, 0.0386], [0.2500, 0.9645, 0.7693], [0.7500, 0.0355, 0.2307], [0.7500, 0.4645, 0.7307], [0.2500, 0.5355, 0.2693], [0.2500, 0.2719, 0.6996], [0.7500, 0.7281, 0.3004], [0.7500, 0.7719, 0.8004], [0.2500, 0.2281, 0.1996], [0.2500, 0.6714, 0.6894], [0.7500, 0.3286, 0.3106], [0.7500, 0.1714, 0.8106], [0.2500, 0.8286, 0.1894], [0.2500, 0.2518, 0.5313], [0.7500, 0.7482, 0.4687], [0.7500, 0.7518, 0.9687], [0.2500, 0.2482, 0.0313], [0.2500, 0.5112, 0.4064], [0.7500, 0.4888, 0.5936], [0.7500, 0.0112, 0.0936], [0.2500, 0.9888, 0.9064]], "rho_g_cm3": 9.32, "spacegroup": "No. 62", "dos_ef_per_ev_atom": 0.42, "delta_e_f_ev_per_atom": -0.187, "m_tot_mub_per_fu": 0.00, "e_tot_ev_per_atom": -3.93}



# 5
{"formula": "Rb3PdPb4", "functional": "PBE", "state": "relaxed", "cell": [[6.5312, 0.0000, 0.0000], [0.0000, 7.2432, 0.0000], [0.0000, 0.0000, 13.8954]], "species": ["Pb", "Pb", "Pb", "Pb", "Pb", "Pb", "Pb", "Pb", "Pd", "Pd", "Rb", "Rb", "Rb", "Rb", "Rb", "Rb"], "frac_coords": [[0.3388, 0.5000, 0.8779], [0.3388, 0.5000, 0.1221], [0.0279, 0.2666, 0.0000], [0.0279, 0.7334, 0.0000], [0.9721, 0.7666, 0.5000], [0.9721, 0.2334, 0.5000], [0.6612, 0.0000, 0.3779], [0.6612, 0.0000, 0.6221], [0.6789, 0.5000, 0.0000], [0.3211, 0.0000, 0.5000], [0.5402, 0.0000, 0.0000], [0.4598, 0.5000, 0.5000], [0.8303, 0.5000, 0.7459], [0.8303, 0.5000, 0.2541], [0.1697, 0.0000, 0.7541], [0.1697, 0.0000, 0.2459]], "rho_g_cm3": 6.02, "spacegroup": "No. 59", "dos_ef_per_ev_atom": 0.33, "delta_e_f_ev_per_atom": -0.208, "m_tot_mub_per_fu": 0.00, "e_tot_ev_per_atom": -3.07}



# 6
{"formula": "Rb2Pd4Pb5", "functional": "PBE", "state": "relaxed", "cell": [[8.1903, 0.0000, 0.0000], [4.0951, 6.0500, -1.1667], [4.0951, 0.3830, 6.8044]], "species": ["Rb", "Rb", "Pd", "Pd", "Pd", "Pd", "Pb", "Pb", "Pb", "Pb", "Pb"], "frac_coords": [[0.2627, 0.8198, 0.6548], [0.7373, 0.1802, 0.3452], [0.3245, 0.1344, 0.2166], [0.6755, 0.8656, 0.7834], [0.8315, 0.4393, 0.8976], [0.1685, 0.5607, 0.1024], [0.2419, 0.2385, 0.8788], [0.7581, 0.7615, 0.1212], [0.0000, 0.5000, 0.5000], [0.6408, 0.2385, 0.8788], [0.3592, 0.7615, 0.1212]], "rho_g_cm3": 7.95, "spacegroup": "No. 12", "dos_ef_per_ev_atom": 0.51, "delta_e_f_ev_per_atom": -0.143, "m_tot_mub_per_fu": 0.00, "e_tot_ev_per_atom": -3.89}



# 7
{"formula": "RbPdPb2", "functional": "PBE", "state": "relaxed", "cell": [[-1.2142, -0.2872, 5.9114], [-4.0432, -4.3666, -1.0426], [3.8433, -8.5646, 3.4608]], "species": ["Pb", "Pb", "Pb", "Pb", "Rb", "Rb", "Pd", "Pd"], "frac_coords": [[0.8305, 0.1250, 0.2500], [0.9195, 0.6250, 0.2500], [0.3750, 0.1695, 0.7500], [0.8750, 0.0805, 0.7500], [0.5000, 0.5000, 0.0000], [0.2500, 0.7500, 0.5000], [0.0000, 0.0000, 0.0000], [0.7500, 0.2500, 0.5000]], "rho_g_cm3": 6.10, "spacegroup": "No. 122", "dos_ef_per_ev_atom": 0.57, "delta_e_f_ev_per_atom": 0.037, "m_tot_mub_per_fu": 0.00, "e_tot_ev_per_atom": -3.36}



# 8
{"formula": "Rb2Pd2Pb", "functional": "PBE", "state": "relaxed", "cell": [[7.2074, 0.0000, 0.0000], [0.0000, 7.2074, 0.0000], [0.0000, 0.0000, 5.7721]], "species": ["Pb", "Pb", "Rb", "Rb", "Rb", "Rb", "Pd", "Pd", "Pd", "Pd"], "frac_coords": [[0.0000, 0.0000, 0.0000], [0.5000, 0.5000, 0.0000], [0.1765, 0.6765, 0.5000], [0.6765, 0.8235, 0.5000], [0.8235, 0.3235, 0.5000], [0.3235, 0.1765, 0.5000], [0.3671, 0.8671, 0.0000], [0.8671, 0.6329, 0.0000], [0.6329, 0.1329, 0.0000], [0.1329, 0.3671, 0.0000]], "rho_g_cm3": 6.55, "spacegroup": "No. 127", "relative_energy_ev_per_fu": 0.00, "dos_ef_per_ev_atom": 0.93, "delta_e_f_ev_per_atom": -0.016, "m_tot_mub_per_fu": 0.00, "e_tot_ev_per_atom": -3.22}